[1]
Below is a relaxed Pr7Mg2Tl2 crystal, with properties calculated at the PBE level.

## Properties
ΔH_f (0 K), eV per formula unit: 0.92
V, Å³ per cell: 387.68
Electronic total energy, eV per atom: -3.68
Total magnetization, μB per cell: 0.00

Structure (POSCAR):
```
Pr7Mg2Tl2
1.0
3.924 -5.786 0.000
3.924 5.786 0.000
0.000 0.000 8.536
Pr Mg Tl
7 2 2
direct
0.000 0.000 0.000
0.000 0.500 0.292
0.000 0.500 0.708
0.500 0.000 0.292
0.500 0.000 0.708
0.500 0.500 0.259
0.500 0.500 0.741
0.174 0.174 0.500
0.826 0.826 0.500
0.292 0.708 0.000
0.708 0.292 0.000
```

[2]
Below is a relaxed Pr2MgTl crystal, with properties calculated at the PBE level.

## Properties
ΔH_f (0 K), eV per formula unit: -1.02
V, Å³ per cell: 119.90
Electronic total energy, eV per atom: -3.64
Total magnetization, μB per cell: 0.00

Structure (POSCAR):
```
Pr2MgTl
1.0
5.269 0.000 0.000
0.000 5.269 0.000
0.000 0.000 4.319
Pr Mg Tl
2 1 1
direct
0.000 0.500 0.000
0.500 0.000 0.000
0.000 0.000 0.500
0.500 0.500 0.500
```

[3]
Below is a relaxed PrMgTl crystal, with properties calculated at the PBE level.

## Properties
ΔH_f (0 K), eV per formula unit: -0.79
V, Å³ per cell: 167.21
Electronic total energy, eV per atom: -3.18
Total magnetization, μB per cell: 0.00

Structure (POSCAR):
```
PrMgTl
1.0
2.429 -7.846 0.000
2.429 7.846 0.000
0.000 0.000 4.387
Pr Mg Tl
2 2 2
direct
0.165 0.835 0.000
0.835 0.165 0.000
0.000 0.000 0.500
0.500 0.500 0.000
0.358 0.642 0.500
0.642 0.358 0.500
```

[4]
Below is a relaxed PrMgTl crystal, with properties calculated at the PBE level.

## Properties
ΔH_f (0 K), eV per formula unit: -1.08
V, Å³ per cell: 251.51
Electronic total energy, eV per atom: -3.27
Total magnetization, μB per cell: 0.00

Structure (POSCAR):
```
PrMgTl
1.0
7.780 0.000 0.000
-3.890 6.738 0.000
0.000 0.000 4.798
Pr Mg Tl
3 3 3
direct
0.000 0.573 0.000
0.427 0.427 0.000
0.573 0.000 0.000
0.000 0.242 0.500
0.242 0.000 0.500
0.758 0.758 0.500
0.000 0.000 0.000
0.333 0.667 0.500
0.667 0.333 0.500
```

[5]
Below is a relaxed PrMg3Tl crystal, with properties calculated at the PBE level.

## Properties
ΔH_f (0 K), eV per formula unit: 1.23
V, Å³ per cell: 339.18
Electronic total energy, eV per atom: -2.14
Total magnetization, μB per cell: 0.00

Structure (POSCAR):
```
PrMg3Tl
1.0
-2.890 2.890 10.151
2.890 -2.890 10.151
2.890 2.890 -10.151
Pr Mg Tl
2 6 2
direct
0.194 0.194 0.000
0.806 0.806 0.000
0.374 0.623 0.751
0.377 0.127 0.751
0.377 0.626 0.249
0.586 0.086 0.500
0.873 0.623 0.249
0.914 0.414 0.500
0.250 0.750 0.500
0.500 0.500 0.000
```

[6]
Below is a relaxed Pr3Mg5Tl2 crystal, with properties calculated at the PBE level.

## Properties
ΔH_f (0 K), eV per formula unit: -0.86
V, Å³ per cell: 572.62
Electronic total energy, eV per atom: -2.79
Total magnetization, μB per cell: 0.52

Structure (POSCAR):
```
Pr3Mg5Tl2
1.0
-6.502 6.817 3.229
6.502 -6.817 3.229
6.502 6.817 -3.229
Pr Mg Tl
6 10 4
direct
0.250 0.125 0.376
0.250 0.250 0.000
0.250 0.625 0.875
0.750 0.375 0.125
0.750 0.750 0.000
0.750 0.875 0.624
0.143 0.380 0.523
0.250 0.506 0.256
0.250 0.750 0.500
0.250 0.994 0.744
0.357 0.880 0.237
0.643 0.120 0.763
0.750 0.006 0.256
0.750 0.250 0.500
0.750 0.494 0.744
0.857 0.620 0.477
0.156 0.861 0.017
0.344 0.361 0.706
0.656 0.639 0.294
0.844 0.139 0.983
```

[7]
Below is a relaxed Pr2MgTl9 crystal, with properties calculated at the PBE level.

## Properties
ΔH_f (0 K), eV per formula unit: -2.27
V, Å³ per cell: 338.75
Electronic total energy, eV per atom: -2.89
Total magnetization, μB per cell: 0.00

Structure (POSCAR):
```
Pr2MgTl9
1.0
4.851 0.000 0.000
0.000 4.851 0.000
0.000 0.000 14.393
Pr Mg Tl
2 1 9
direct
0.000 0.000 0.166
0.000 0.000 0.834
0.000 0.000 0.500
0.000 0.500 0.000
0.000 0.500 0.341
0.000 0.500 0.659
0.500 0.000 0.000
0.500 0.000 0.341
0.500 0.000 0.659
0.500 0.500 0.168
0.500 0.500 0.500
0.500 0.500 0.832
```

[8]
Below is a relaxed Pr12MgTl6 crystal, with properties calculated at the PBE level.

## Properties
ΔH_f (0 K), eV per formula unit: -1.29
V, Å³ per cell: 642.56
Electronic total energy, eV per atom: -3.92
Total magnetization, μB per cell: 0.00

Structure (POSCAR):
```
Pr12MgTl6
1.0
7.441 4.296 3.350
-7.441 4.296 3.350
0.000 -8.592 3.350
Pr Mg Tl
12 1 6
direct
0.030 0.341 0.882
0.073 0.408 0.320
0.118 0.970 0.659
0.320 0.073 0.408
0.341 0.882 0.030
0.408 0.320 0.073
0.592 0.680 0.927
0.659 0.118 0.970
0.680 0.927 0.592
0.882 0.030 0.341
0.927 0.592 0.680
0.970 0.659 0.118
0.000 0.000 0.000
0.241 0.357 0.661
0.339 0.759 0.643
0.357 0.661 0.241
0.643 0.339 0.759
0.661 0.241 0.357
0.759 0.643 0.339
```